(1)
Computed, not measured: a geometry-optimized Ho5Ir4Rh structure at the PBE level of DFT.

a = 3.3444 Å, b = 3.3444 Å, c = 17.7318 Å
α = 90.00°, β = 90.00°, γ = 90.00°
Last column: nearest neighbours and their distance in Å.
Fractional coordinates of all 10 atoms:
Ho (0.5000, 0.5000, 0.1002)  4 Ir 2.94, 4 Rh 2.96
Ho (0.5000, 0.5000, 0.2996)  8 Ir 2.96-2.97
Ho (0.5000, 0.5000, 0.5000)  8 Ir 2.96
Ho (0.5000, 0.5000, 0.7004)  8 Ir 2.96-2.97
Ho (0.5000, 0.5000, 0.8998)  4 Ir 2.94, 4 Rh 2.96
Ir (0.0000, 0.0000, 0.1987)  8 Ho 2.94-2.97
Ir (0.0000, 0.0000, 0.3998)  8 Ho 2.96
Ir (0.0000, 0.0000, 0.6002)  8 Ho 2.96
Ir (0.0000, 0.0000, 0.8013)  8 Ho 2.94-2.97
Rh (0.0000, 0.0000, 0.0000)  8 Ho 2.96

Calculated values
Space-group type   P4/mmm
VASP energy   -0.2728 Ha/atom
Magnetic moment   0.00 μB/f.u.

=====

(2)
Computed, not measured: a geometry-optimized BeB3Rh structure at the PBE level of DFT.

a = 3.5586 Å, b = 3.5586 Å, c = 3.5586 Å
α = 90.00°, β = 90.00°, γ = 90.00°
Last column: nearest neighbours and their distance in Å.
Fractional coordinates of all 5 atoms:
Be (0.0000, 0.0000, 0.0000)  6 B 1.78
B (0.0000, 0.5000, 0.0000)  2 Be 1.78
B (0.0000, 0.0000, 0.5000)  2 Be 1.78
B (0.5000, 0.0000, 0.0000)  2 Be 1.78
Rh (0.5000, 0.5000, 0.5000)  12 B 2.52

Calculated values
Space-group type   Pm-3m
VASP energy   -0.1803 Ha/atom
ΔE to the lowest computed polymorph   0.0 meV per atom
Magnetic moment   0.00 μB/f.u.

=====

(3)
Computed, not measured: a geometry-optimized Na2SrTlH structure at the PBE level of DFT.

a = 5.0146 Å, b = 5.0146 Å, c = 5.1401 Å
α = 90.00°, β = 90.00°, γ = 90.00°
Last column: nearest neighbours and their distance in Å.
Fractional coordinates of all 5 atoms:
Sr (0.0000, 0.0000, 0.5000)  2 H 2.57
Tl (0.5000, 0.5000, 0.5000)  4 Sr 3.55, 8 Na 3.59
H (0.0000, 0.0000, 0.0000)  4 Na 2.51, 2 Sr 2.57
Na (0.0000, 0.5000, 0.0000)  2 H 2.51
Na (0.5000, 0.0000, 0.0000)  2 H 2.51

Calculated values
Space-group type   P4/mmm
VASP energy   -0.0808 Ha/atom
Magnetic moment   0.00 μB/f.u.

=====

(4)
Computed, not measured: a geometry-optimized CdNi4 structure at the PBE level of DFT.

a = 4.6151 Å, b = 4.6151 Å, c = 4.6151 Å
α = 90.00°, β = 90.00°, γ = 90.00°
Last column: nearest neighbours and their distance in Å.
Fractional coordinates of all 5 atoms:
Ni (0.0000, 0.0000, 0.0000)  12 Ni 3.26
Ni (0.5000, 0.0000, 0.5000)  2 Cd 2.31
Ni (0.0000, 0.5000, 0.5000)  2 Cd 2.31
Ni (0.5000, 0.5000, 0.0000)  2 Cd 2.31
Cd (0.5000, 0.5000, 0.5000)  6 Ni 2.31

Calculated values
Space-group type   Pm-3m
VASP energy   -0.1142 Ha/atom
ΔE to the lowest computed polymorph   1587.0 meV per atom
Magnetic moment   2.01 μB/f.u.

=====

(5)
Computed, not measured: a geometry-optimized LiCa2Ir structure at the PBE level of DFT.

a = 5.4832 Å, b = 5.4832 Å, c = 5.4832 Å
α = 132.77°, β = 132.77°, γ = 69.01°
Last column: nearest neighbours and their distance in Å.
Fractional coordinates of all 4 atoms:
Ca (0.0000, 0.0000, 0.0000)  4 Ir 3.11, 4 Ca 3.15, 4 Li 3.15
Ca (0.2500, 0.7500, 0.5000)  4 Li 3.11, 4 Ca 3.15, 4 Ir 3.15
Ir (0.5000, 0.5000, 0.0000)  8 Ca 3.11-3.15, 4 Li 3.15
Li (0.7500, 0.2500, 0.5000)  8 Ca 3.11-3.15, 4 Ir 3.15

Calculated values
Space-group type   I-4m2
VASP energy   -0.1372 Ha/atom
ΔE to the lowest computed polymorph   187.4 meV per atom
Magnetic moment   0.00 μB/f.u.

=====

(6)
Computed, not measured: a geometry-optimized NaZrAlO4 structure at the PBE level of DFT.

a = 5.3825 Å, b = 5.5619 Å, c = 7.1277 Å
α = 90.00°, β = 109.62°, γ = 90.00°
Last column: nearest neighbours and their distance in Å.
Fractional coordinates of all 14 atoms:
Na (0.3751, 0.7500, 0.8577)  4 O 2.26-2.51
Na (0.6249, 0.2500, 0.1423)  4 O 2.26-2.51
Zr (0.7910, 0.7500, 0.4652)  6 O 2.07-2.25
Zr (0.2090, 0.2500, 0.5348)  6 O 2.07-2.25
Al (0.2355, 0.7500, 0.3137)  4 O 1.75-1.80
Al (0.7645, 0.2500, 0.6863)  4 O 1.75-1.80
O (0.9884, 0.4864, 0.6817)  1 Al 1.79
O (0.0116, 0.9864, 0.3183)  1 Al 1.79
O (0.0116, 0.5136, 0.3183)  1 Al 1.79
O (0.9884, 0.0136, 0.6817)  1 Al 1.79
O (0.4685, 0.7500, 0.1921)  1 Al 1.75
O (0.5315, 0.2500, 0.8079)  1 Al 1.75
O (0.4692, 0.7500, 0.5630)  1 Al 1.80
O (0.5308, 0.2500, 0.4370)  1 Al 1.80

Calculated values
Space-group type   P2_1/m
VASP energy   -0.2767 Ha/atom
Magnetic moment   0.00 μB/f.u.

=====

(7)
Computed, not measured: a geometry-optimized LaHo7Tm12 structure at the PBE level of DFT.

a = 8.6222 Å, b = 8.6222 Å, c = 8.6222 Å
α = 87.53°, β = 87.53°, γ = 87.53°
Last column: nearest neighbours and their distance in Å.
Fractional coordinates of all 20 atoms:
La (0.0000, 0.0000, 0.0000)  6 Ho 3.31
Ho (0.9987, 0.6309, 0.1239)  1 Ho 3.17, 4 Tm 3.21-3.37, 1 La 3.31
Ho (0.3691, 0.8761, 0.0013)  1 Ho 3.17, 4 Tm 3.21-3.37, 1 La 3.31
Ho (0.8761, 0.0013, 0.3691)  1 Ho 3.17, 4 Tm 3.21-3.37, 1 La 3.31
Ho (0.5000, 0.5000, 0.5000)  12 Tm 3.39-3.75
Ho (0.1239, 0.9987, 0.6309)  1 Ho 3.17, 4 Tm 3.21-3.37, 1 La 3.31
Ho (0.6309, 0.1239, 0.9987)  1 Ho 3.17, 4 Tm 3.21-3.37, 1 La 3.31
Ho (0.0013, 0.3691, 0.8761)  1 Ho 3.17, 4 Tm 3.21-3.37, 1 La 3.31
Tm (0.7641, 0.2355, 0.6436)  4 Ho 3.21-3.39, 2 Tm 3.49-3.54
Tm (0.7645, 0.3564, 0.2359)  4 Ho 3.21-3.39, 2 Tm 3.49-3.54
Tm (0.4364, 0.1081, 0.3463)  6 Tm 3.37-3.69, 4 Ho 3.37-3.75
Tm (0.8919, 0.6537, 0.5636)  6 Tm 3.37-3.69, 4 Ho 3.37-3.75
Tm (0.3564, 0.2359, 0.7645)  4 Ho 3.21-3.39, 2 Tm 3.49-3.54
Tm (0.6537, 0.5636, 0.8919)  6 Tm 3.37-3.69, 4 Ho 3.37-3.75
Tm (0.3463, 0.4364, 0.1081)  6 Tm 3.37-3.69, 4 Ho 3.37-3.75
Tm (0.6436, 0.7641, 0.2355)  4 Ho 3.21-3.39, 2 Tm 3.49-3.54
Tm (0.1081, 0.3463, 0.4364)  6 Tm 3.37-3.69, 4 Ho 3.37-3.75
Tm (0.5636, 0.8919, 0.6537)  6 Tm 3.37-3.69, 4 Ho 3.37-3.75
Tm (0.2355, 0.6436, 0.7641)  4 Ho 3.21-3.39, 2 Tm 3.49-3.54
Tm (0.2359, 0.7645, 0.3564)  4 Ho 3.21-3.39, 2 Tm 3.49-3.54

Calculated values
Space-group type   R-3
VASP energy   -0.1576 Ha/atom
Magnetic moment   0.00 μB/f.u.

=====

(8)
Computed, not measured: a geometry-optimized Sr2HgAs2 structure at the PBE level of DFT.

a = 8.0157 Å, b = 8.0157 Å, c = 4.4024 Å
α = 90.00°, β = 90.00°, γ = 90.00°
Last column: nearest neighbours and their distance in Å.
Fractional coordinates of all 10 atoms:
Sr (0.1823, 0.6823, 0.5000)  6 As 3.22-3.27
Sr (0.6823, 0.8177, 0.5000)  6 As 3.22-3.27
Sr (0.8177, 0.3177, 0.5000)  6 As 3.22-3.27
Sr (0.3177, 0.1823, 0.5000)  6 As 3.22-3.27
As (0.3899, 0.8899, 0.0000)  1 As 2.50
As (0.8899, 0.6101, 0.0000)  1 As 2.50
As (0.6101, 0.1101, 0.0000)  1 As 2.50
As (0.1101, 0.3899, 0.0000)  1 As 2.50
Hg (0.0000, 0.0000, 0.0000)  4 As 3.25
Hg (0.5000, 0.5000, 0.0000)  4 As 3.25

Calculated values
Space-group type   P4/mbm
VASP energy   -0.1258 Ha/atom
Magnetic moment   0.00 μB/f.u.

=====

(9)
Computed, not measured: a geometry-optimized SrSiSe2Cl structure at the PBE level of DFT.

a = 5.7455 Å, b = 6.5651 Å, c = 5.7455 Å
α = 90.00°, β = 90.00°, γ = 90.00°
Last column: nearest neighbours and their distance in Å.
Fractional coordinates of all 5 atoms:
Sr (0.0000, 0.0000, 0.0000)  4 Se 2.87
Si (0.0000, 0.5000, 0.0000)  2 Sr 3.28
Se (0.0000, 0.0000, 0.5000)  2 Sr 2.87
Se (0.5000, 0.0000, 0.0000)  2 Sr 2.87
Cl (0.5000, 0.5000, 0.5000)  4 Si 4.06, 8 Se 4.36

Calculated values
Space-group type   P4/mmm
VASP energy   -0.0956 Ha/atom
Magnetic moment   1.00 μB/f.u.

=====

(10)
Computed, not measured: a geometry-optimized K2ReP structure at the PBE level of DFT.

a = 5.5312 Å, b = 5.5312 Å, c = 5.5312 Å
α = 60.00°, β = 60.00°, γ = 60.00°
Last column: nearest neighbours and their distance in Å.
Fractional coordinates of all 4 atoms:
Re (0.5000, 0.5000, 0.5000)  8 K 3.39
K (0.2500, 0.2500, 0.2500)  4 Re 3.39, 4 P 3.39
K (0.7500, 0.7500, 0.7500)  4 Re 3.39, 4 P 3.39
P (0.0000, 0.0000, 0.0000)  8 K 3.39

Calculated values
Space-group type   Fm-3m
VASP energy   -0.1257 Ha/atom
ΔE to the lowest computed polymorph   1414.6 meV per atom
Magnetic moment   4.87 μB/f.u.

=====

(11)
Computed, not measured: a geometry-optimized YH3Rh structure at the PBE level of DFT.

a = 3.7162 Å, b = 3.7162 Å, c = 4.0111 Å
α = 90.00°, β = 90.00°, γ = 90.00°
Last column: nearest neighbours and their distance in Å.
Fractional coordinates of all 5 atoms:
Y (0.0000, 0.0000, 0.1549)  2 H 2.00-2.02
H (0.0000, 0.0000, 0.6574)  2 Y 2.00-2.02, 4 H 2.01
H (0.5000, 0.0000, 0.4683)  2 Rh 1.87, 2 H 2.01
H (0.0000, 0.5000, 0.4683)  2 Rh 1.87, 2 H 2.01
Rh (0.5000, 0.5000, 0.5148)  4 H 1.87

Calculated values
Space-group type   P4mm
VASP energy   -0.1815 Ha/atom
Magnetic moment   0.00 μB/f.u.